Here is a relaxed Pu2ZnGa3Pt4 crystal from the Alexandria database. Energies are from PBE-GGA.

abc: 4.1093 4.1093 11.1984
angles: 90.00 90.00 90.00
Closest atoms and distances in Å follow each position.
Atoms (fractional coordinates):
Pt1 0.5000 0.5000 0.0000  4 Ga 2.54
Pt2 0.0000 0.5000 0.3562  3 Ga 2.50-2.61, 2 Zn 2.61
Pt3 0.0000 0.0000 0.0000  4 Ga 2.54
Pt4 0.5000 0.0000 0.6438  3 Ga 2.50-2.61, 2 Zn 2.61
Pu1 0.5000 0.0000 0.2536  4 Pt 3.12, 6 Ga 3.20-3.44, 2 Zn 3.44
Pu2 0.0000 0.5000 0.7464  4 Pt 3.12, 6 Ga 3.20-3.44, 2 Zn 3.44
Ga1 0.0000 0.0000 0.5000  4 Pt 2.61, 4 Zn 2.91
Ga2 0.5000 0.0000 0.8669  5 Pt 2.50-2.54
Ga3 0.0000 0.5000 0.1331  5 Pt 2.50-2.54
Zn1 0.5000 0.5000 0.5000  4 Pt 2.61, 4 Ga 2.91

Output
Energy of formation, eV per atom: -0.726
DFT total energy, eV per atom: -7.044